1.
Entry from Alexandria via LeMat-Bulk: crystalline ZrCoGe at its relaxed geometry (PBE-GGA).

Values from the calculation:
DFT formation energy   -0.5867 eV/atom
DFT total energy   -22.03 eV per cell
Crystal system   hexagonal

Unit cell a=4.1322 b=4.1322 c=3.2273 alpha=90.00 beta=90.00 gamma=120.00
Space group P-6m2 (No. 187)
One atom of each set of equivalent atoms:
Zr  0.0000  0.0000  0.0000 (multiplicity 1)
Co  0.3333  0.6667  0.5000 (multiplicity 1)
Ge  0.6667  0.3333  0.5000 (multiplicity 1)

2.
Entry from Alexandria via LeMat-Bulk: crystalline ZrCo4Ge2 at its relaxed geometry (PBE-GGA).

Values from the calculation:
DFT formation energy   -0.2494 eV/atom
Offset from the most stable computed form   104 meV per atom
DFT total energy   -143.86 eV per cell
Crystal system   trigonal

Unit cell a=3.9957 b=3.9957 c=20.9102 alpha=90.00 beta=90.00 gamma=120.00
Space group R-3m (No. 166, hexagonal axes)
One atom of each set of equivalent atoms:
Zr  0.0000  0.0000  0.0000 (multiplicity 3)
Co  0.0000  0.0000  0.1439 (multiplicity 6)
Co  0.0000  0.0000  0.4402 (multiplicity 6)
Ge  0.0000  0.0000  0.2580 (multiplicity 6)

| no. | density of states at the Fermi level (states/eV per atom) | M_tot (μB per atom) |
| --- | --- | --- |
| 1 | 0.80 | 0.23 |
| 2 | 1.42 | 0.75 |